Entry from Alexandria via LeMat-Bulk: a relaxed Ac6Ir2AuCl3 crystal (PBE).

Lattice parameters (Å, degrees): 7.6580 13.3042 8.3278 90.00 107.44 90.00
Last column: nearest neighbours and their distance in Å.
Space group C2/m (No. 12)
Symmetry-distinct sites (fractional):
Ac 0.2149 0.0000 0.2040 x4  2 Ir 2.97, 1 Au 3.14
Ac 0.2429 0.3244 0.2048 x8  2 Ir 2.97-2.98, 1 Au 3.15, 1 Cl 3.31
Ir 0.0000 0.1664 0.0000 x4  6 Ac 2.97-2.98
Au 0.0000 0.5000 0.0000 x2  6 Ac 3.14-3.15
Cl 0.0000 0.0000 0.5000 x2  6 Ac 3.35-3.53
Cl 0.0000 0.3242 0.5000 x4  6 Ac 3.31-3.62

Summary:
- total energy (eV/atom) = -5.525
- E_form (uncorrected) (eV/atom) = -1.26